A crystal of KZn2Mo relaxed with PBEsol, computed with meta-GGA SCAN.

Cell lengths 2.7251, 2.7251, 9.7355 Å; angles 90.00, 90.00, 90.13 degrees
Sites, in units of the cell vectors:
K  0.5000  0.5000  0.5000
Mo  0.5000  0.5000  0.0000
Zn  0.0000  0.0000  0.2059
Zn  0.0000  0.0000  0.7941

## Properties
- polymorph energy (0 for the lowest one) (eV per atom) = 0.000
- D(E_F) (states/eV/f.u.) = 2.97
- VASP energy (eV for the cell shown) = -68.438
- ΔH_f (0 K) (eV/atom) = 0.4517
- crystal system = orthorhombic

A crystal of ZnCr3Ru relaxed with PBEsol, computed with meta-GGA SCAN.

Cell lengths 4.5485, 4.5485, 4.5485 Å; angles 90.00, 90.00, 90.00 degrees
Last column: magnetic moment on the atom in μB.
Sites, in units of the cell vectors:
Ru  0.0000  0.0000  0.0000  -0.69
Zn  0.5000  0.5000  0.5000  -0.08
Cr  0.0000  0.5000  0.0000  3.33
Cr  0.0000  0.0000  0.5000  3.33
Cr  0.5000  0.0000  0.0000  3.33

## Properties
- D(E_F) (states/eV/f.u.) = 4.42
- VASP energy (eV for the cell shown) = -98.015
- ΔH_f (0 K) (eV/atom) = 1.0961
- crystal system = cubic

A crystal of ScTl2Pb relaxed with PBEsol, computed with meta-GGA SCAN.

Cell lengths 3.5335, 5.2554, 6.2810 Å; angles 114.73, 106.34, 90.00 degrees
Sites, in units of the cell vectors:
Pb  0.5000  0.0000  0.0000
Sc  0.0000  0.5000  0.0000
Tl  0.7375  0.7375  0.4750
Tl  0.2625  0.2625  0.5250

## Properties
- D(E_F) (states/eV/f.u.) = 2.27
- VASP energy (eV for the cell shown) = -235.442
- ΔH_f (0 K) (eV/atom) = -0.1768
- crystal system = orthorhombic

A crystal of Nb2TcOsS relaxed with PBEsol, computed with meta-GGA SCAN.

Cell lengths 4.6189, 4.8335, 4.8335 Å; angles 90.00, 90.00, 90.00 degrees
Last column: magnetic moment on the atom in μB.
Sites, in units of the cell vectors:
S  0.5000  0.5000  0.5000  0.06
Nb  0.0000  0.0000  0.5000  -0.15
Nb  0.0000  0.5000  0.0000  -0.15
Os  0.0000  0.0000  0.0000  -0.01
Tc  0.5000  0.0000  0.0000  1.22

## Properties
- D(E_F) (states/eV/f.u.) = 5.03
- formation energy without anion corrections (kJ/mol of formula units) = 628
- VASP energy (eV for the cell shown) = -176.322
- crystal system = tetragonal